# Pm6YMg | the Alexandria database | PBE | optimized geometry
data_Pm6YMg
_symmetry_space_group_name_H-M 'P -1'
_symmetry_Int_Tables_number 2
_cell_length_a 6.465
_cell_length_b 6.466
_cell_length_c 6.471
_cell_angle_alpha 96.57
_cell_angle_beta 96.57
_cell_angle_gamma 96.69
loop_
_symmetry_equiv_pos_as_xyz
'x,y,z'
'-x,-y,-z'
loop_
_atom_site_label
_atom_site_fract_x
_atom_site_fract_y
_atom_site_fract_z
Pm1 0.027 0.261 0.054
Pm2 0.261 0.554 0.527
Pm3 0.446 0.973 0.239
Y1 0.000 0.000 0.500
Mg1 0.500 0.500 0.000
# polymorph energy (0 for the lowest one): 8.40 kJ/mol of atoms
# formation energy: 0.80 eV per formula unit
# energy: -35.76 eV/cell



# Pm6Y5Mg | the Alexandria database | PBE | optimized geometry
data_Pm6Y5Mg
_symmetry_space_group_name_H-M 'I m m m'
_symmetry_Int_Tables_number 71
_symmetry_space_group_name_Hall '-I 2 2'
_cell_length_a 5.099
_cell_length_b 10.042
_cell_length_c 15.316
_cell_angle_alpha 90.00
_cell_angle_beta 90.00
_cell_angle_gamma 90.00
loop_
_atom_site_label
_atom_site_fract_x
_atom_site_fract_y
_atom_site_fract_z
Pm1 0.000 0.248 0.000
Pm2 0.000 0.252 0.333
Y1 0.000 0.000 0.168
Y2 0.000 0.000 0.500
Y3 0.000 0.500 0.165
Mg1 0.000 0.500 0.500
# formation energy: 0.20 eV per formula unit
# energy: -124.45 eV/cell



# Pm3Y4Mg | the Alexandria database | PBE | optimized geometry
data_Pm3Y4Mg
_symmetry_space_group_name_H-M 'P m n 21'
_symmetry_Int_Tables_number 31
_cell_length_a 11.385
_cell_length_b 7.272
_cell_length_c 6.229
_cell_angle_alpha 90.00
_cell_angle_beta 90.00
_cell_angle_gamma 90.00
loop_
_symmetry_equiv_pos_as_xyz
'x,y,z'
'-x+1/2,-y,z+1/2'
'-x,y,z'
'x+1/2,-y,z+1/2'
loop_
_atom_site_label
_atom_site_fract_x
_atom_site_fract_y
_atom_site_fract_z
Pm1 0.000 0.122 0.000
Pm2 0.248 0.622 0.653
Y1 0.000 0.628 0.986
Y2 0.000 0.869 0.475
Y3 0.243 0.127 0.642
Mg1 0.000 0.377 0.493
# polymorph energy (0 for the lowest one): 0.00 kJ/mol of atoms
# formation energy: 0.02 eV per formula unit
# energy: -83.36 eV/cell



# Pm2Y6Mg | the Alexandria database | PBE | optimized geometry
data_Pm2Y6Mg
_symmetry_space_group_name_H-M 'C 1 2/m 1'
_symmetry_Int_Tables_number 12
_cell_length_a 9.986
_cell_length_b 7.173
_cell_length_c 8.506
_cell_angle_alpha 90.00
_cell_angle_beta 103.92
_cell_angle_gamma 90.00
loop_
_symmetry_equiv_pos_as_xyz
'x,y,z'
'-x,-y,-z'
'-x,y,-z'
'x,-y,z'
'x+1/2,y+1/2,z'
'-x+1/2,-y+1/2,-z'
'-x+1/2,y+1/2,-z'
'x+1/2,-y+1/2,z'
loop_
_atom_site_label
_atom_site_fract_x
_atom_site_fract_y
_atom_site_fract_z
Pm1 0.234 0.000 0.467
Y1 0.042 0.259 0.708
Y2 0.178 0.500 0.075
Mg1 0.000 0.000 0.000
# polymorph energy (0 for the lowest one): 11.42 kJ/mol of atoms
# formation energy: 1.28 eV per formula unit
# energy: -97.20 eV/cell



# Pm3Y6Mg | the Alexandria database | PBE | optimized geometry
data_Pm3Y6Mg
_symmetry_space_group_name_H-M 'P 1 21/m 1'
_symmetry_Int_Tables_number 11
_cell_length_a 10.441
_cell_length_b 5.326
_cell_length_c 11.686
_cell_angle_alpha 90.00
_cell_angle_beta 97.41
_cell_angle_gamma 90.00
loop_
_symmetry_equiv_pos_as_xyz
'x,y,z'
'-x,-y,-z'
'-x,y+1/2,-z'
'x,-y+1/2,z'
loop_
_atom_site_label
_atom_site_fract_x
_atom_site_fract_y
_atom_site_fract_z
Pm1 0.050 0.250 0.405
Pm2 0.155 0.750 0.212
Pm3 0.265 0.250 0.022
Y1 0.052 0.750 0.903
Y2 0.174 0.250 0.711
Y3 0.276 0.750 0.518
Y4 0.357 0.750 0.836
Y5 0.372 0.250 0.322
Y6 0.461 0.750 0.134
Mg1 0.450 0.250 0.597
# formation energy: 0.28 eV per formula unit
# energy: -108.71 eV/cell



# Pm2Y2Mg | the Alexandria database | PBE | optimized geometry
data_Pm2Y2Mg
_symmetry_space_group_name_H-M 'I 4/m m m'
_symmetry_Int_Tables_number 139
_symmetry_space_group_name_Hall '-I 4 2'
_cell_length_a 3.661
_cell_length_b 3.661
_cell_length_c 23.393
_cell_angle_alpha 90.00
_cell_angle_beta 90.00
_cell_angle_gamma 90.00
loop_
_atom_site_label
_atom_site_fract_x
_atom_site_fract_y
_atom_site_fract_z
Pm1 0.000 0.000 0.195
Y1 0.000 0.000 0.412
Mg1 0.000 0.000 0.000
# polymorph energy (0 for the lowest one): 0.00 kJ/mol of atoms
# formation energy: -0.14 eV per formula unit
# energy: -48.33 eV/cell



Look up the energy of the fifth one. -108.71 eV/cell



What did the sixth record say?
# Pm2Y2Mg | the Alexandria database | PBE | optimized geometry
data_Pm2Y2Mg
_symmetry_space_group_name_H-M 'I 4/m m m'
_symmetry_Int_Tables_number 139
_symmetry_space_group_name_Hall '-I 4 2'
_cell_length_a 3.661
_cell_length_b 3.661
_cell_length_c 23.393
_cell_angle_alpha 90.00
_cell_angle_beta 90.00
_cell_angle_gamma 90.00
loop_
_atom_site_label
_atom_site_fract_x
_atom_site_fract_y
_atom_site_fract_z
Pm1 0.000 0.000 0.195
Y1 0.000 0.000 0.412
Mg1 0.000 0.000 0.000
# polymorph energy (0 for the lowest one): 0.00 kJ/mol of atoms
# formation energy: -0.14 eV per formula unit
# energy: -48.33 eV/cell